# Pm2Ge4RuPt3 PBE relaxed
# ΔH_f (0 K) = -0.884 eV per atom
data_Pm2Ge4RuPt3
_symmetry_space_group_name_H-M 'P -4 m 2'
_symmetry_Int_Tables_number 115
_symmetry_space_group_name_Hall 'P -4 -2'
_cell_length_a 4.2662
_cell_length_b 4.2662
_cell_length_c 10.3960
_cell_angle_alpha 90.00
_cell_angle_beta 90.00
_cell_angle_gamma 90.00
loop_
_atom_site_label
_atom_site_type_symbol
_atom_site_fract_x
_atom_site_fract_y
_atom_site_fract_z
Pm1 Pm 0.0000 0.5000 0.2475
Ge1 Ge 0.0000 0.0000 0.0000
Ge2 Ge 0.0000 0.5000 0.6288
Ge3 Ge 0.5000 0.5000 0.0000
Ru1 Ru 0.0000 0.0000 0.5000
Pt1 Pt 0.0000 0.5000 0.8667
Pt2 Pt 0.5000 0.5000 0.5000

---

# Pm6Ge2PtS3 PBE relaxed
# formation energy without anion corrections = -1.46 eV/atom
data_Pm6Ge2PtS3
_symmetry_space_group_name_H-M 'C 1 2/m 1'
_symmetry_Int_Tables_number 12
_symmetry_space_group_name_Hall '-C 2y'
_cell_length_a 18.2168
_cell_length_b 4.1345
_cell_length_c 8.3573
_cell_angle_alpha 90.00
_cell_angle_beta 104.33
_cell_angle_gamma 90.00
loop_
_atom_site_label
_atom_site_type_symbol
_atom_site_fract_x
_atom_site_fract_y
_atom_site_fract_z
Pm1 Pm 0.0008 0.0000 0.2491
Pm2 Pm 0.1666 0.5000 0.0849
Pm3 Pm 0.1681 0.5000 0.5835
Ge1 Ge 0.1651 0.0000 0.8315
Pt1 Pt 0.0000 0.5000 0.5000
S1 S 0.0000 0.5000 0.0000
S2 S 0.1681 0.0000 0.3336

---

# Pm2Ge3SbPt4 PBE relaxed
# formation energy without anion corrections = -0.87 eV/atom
data_Pm2Ge3SbPt4
_symmetry_space_group_name_H-M 'P -4 m 2'
_symmetry_Int_Tables_number 115
_symmetry_space_group_name_Hall 'P -4 -2'
_cell_length_a 4.4053
_cell_length_b 4.4053
_cell_length_c 10.4318
_cell_angle_alpha 90.00
_cell_angle_beta 90.00
_cell_angle_gamma 90.00
loop_
_atom_site_label
_atom_site_type_symbol
_atom_site_fract_x
_atom_site_fract_y
_atom_site_fract_z
Pm1 Pm 0.0000 0.5000 0.2335
Ge1 Ge 0.0000 0.5000 0.8748
Ge2 Ge 0.5000 0.5000 0.5000
Sb1 Sb 0.0000 0.0000 0.5000
Pt1 Pt 0.0000 0.0000 0.0000
Pt2 Pt 0.0000 0.5000 0.6404
Pt3 Pt 0.5000 0.5000 0.0000

---

# Pm3Ge2SbPt9 PBE relaxed
# formation energy without anion corrections = -0.58 eV/atom
data_Pm3Ge2SbPt9
_symmetry_space_group_name_H-M 'P -3 m 1'
_symmetry_Int_Tables_number 164
_symmetry_space_group_name_Hall '-P 3 2"'
_cell_length_a 6.5770
_cell_length_b 6.5770
_cell_length_c 9.2229
_cell_angle_alpha 90.00
_cell_angle_beta 90.00
_cell_angle_gamma 120.00
loop_
_atom_site_label
_atom_site_type_symbol
_atom_site_fract_x
_atom_site_fract_y
_atom_site_fract_z
Pm1 Pm 0.0000 0.0000 0.0000
Pm2 Pm 0.3333 0.6667 0.7421
Ge1 Ge 0.3333 0.6667 0.1822
Sb1 Sb 0.0000 0.0000 0.5000
Pt1 Pt 0.0000 0.5000 0.0000
Pt2 Pt 0.1404 0.2807 0.2717